(1)
Sr3Cd | PBE-GGA | optimized geometry

Geometry as CIF:
```
data_Sr3Cd
_symmetry_space_group_name_H-M 'R -3 m'
_symmetry_Int_Tables_number 166
_symmetry_space_group_name_Hall '-R 3 2"'
_cell_length_a 4.2873
_cell_length_b 4.2873
_cell_length_c 35.6473
_cell_angle_alpha 90.00
_cell_angle_beta 90.00
_cell_angle_gamma 120.00
loop_
_atom_site_label
_atom_site_type_symbol
_atom_site_fract_x
_atom_site_fract_y
_atom_site_fract_z
Sr1 Sr 0.0000 0.0000 0.0000
Sr2 Sr 0.0000 0.0000 0.2332
Cd1 Cd 0.0000 0.0000 0.5000
```

Computed properties:
relative energy among the computed polymorphs = 90 meV/atom
formation energy from the elements = -79 meV per atom
electronic total energy = -1.569 eV/atom
theoretical density = 3.29 Mg/m³

---

(2)
SrCd11 | PBE-GGA | optimized geometry

Geometry as CIF:
```
data_SrCd11
_symmetry_space_group_name_H-M 'I 41/a m d'
_symmetry_Int_Tables_number 141
_cell_length_a 12.1318
_cell_length_b 12.1318
_cell_length_c 7.8165
_cell_angle_alpha 90.00
_cell_angle_beta 90.00
_cell_angle_gamma 90.00
loop_
_symmetry_equiv_pos_as_xyz
'x,y,z'
'-x,-y,-z'
'-y+1/4,x+3/4,z+1/4'
'y+1/4,-x+3/4,-z+1/4'
'-x+1/2,-y,z+1/2'
'x+1/2,y,-z+1/2'
'y+1/4,-x+1/4,z+3/4'
'-y+1/4,x+1/4,-z+3/4'
'x,-y,-z'
'-x,y,z'
'-y+1/4,-x+1/4,-z+3/4'
'y+1/4,x+1/4,z+3/4'
'-x+1/2,y,-z+1/2'
'x+1/2,-y,z+1/2'
'y+1/4,x+3/4,-z+1/4'
'-y+1/4,-x+3/4,z+1/4'
'x+1/2,y+1/2,z+1/2'
'-x+1/2,-y+1/2,-z+1/2'
'-y+3/4,x+1/4,z+3/4'
'y+3/4,-x+1/4,-z+3/4'
'-x,-y+1/2,z'
'x,y+1/2,-z'
'y+3/4,-x+3/4,z+1/4'
'-y+3/4,x+3/4,-z+1/4'
'x+1/2,-y+1/2,-z+1/2'
'-x+1/2,y+1/2,z+1/2'
'-y+3/4,-x+3/4,-z+1/4'
'y+3/4,x+3/4,z+1/4'
'-x,y+1/2,-z'
'x,-y+1/2,z'
'y+3/4,x+1/4,-z+3/4'
'-y+3/4,-x+1/4,z+3/4'
loop_
_atom_site_label
_atom_site_type_symbol
_atom_site_fract_x
_atom_site_fract_y
_atom_site_fract_z
Sr1 Sr 0.0000 0.2500 0.3750
Cd1 Cd 0.0000 0.0000 0.0000
Cd2 Cd 0.0000 0.2500 0.8750
Cd3 Cd 0.1208 0.0466 0.6733
```

Computed properties:
formation energy from the elements = -139 meV per atom
electronic total energy = -1.118 eV/atom
theoretical density = 7.65 Mg/m³

---

(3)
Sr5Cd | PBE-GGA | optimized geometry

Geometry as CIF:
```
data_Sr5Cd
_symmetry_space_group_name_H-M 'P -6 2 m'
_symmetry_Int_Tables_number 189
_symmetry_space_group_name_Hall 'P -6 -2'
_cell_length_a 7.0481
_cell_length_b 7.0481
_cell_length_c 6.5356
_cell_angle_alpha 90.00
_cell_angle_beta 90.00
_cell_angle_gamma 120.00
loop_
_atom_site_label
_atom_site_type_symbol
_atom_site_fract_x
_atom_site_fract_y
_atom_site_fract_z
Sr1 Sr 0.0000 0.6841 0.0000
Sr2 Sr 0.3333 0.6667 0.5000
Cd1 Cd 0.0000 0.0000 0.5000
```

Computed properties:
relative energy among the computed polymorphs = 100 meV/atom
formation energy from the elements = -10 meV per atom
electronic total energy = -1.564 eV/atom
theoretical density = 3.25 Mg/m³

---

(4)
SrCd4 | PBE-GGA | optimized geometry

Geometry as CIF:
```
data_SrCd4
_symmetry_space_group_name_H-M 'I m -3 m'
_symmetry_Int_Tables_number 229
_symmetry_space_group_name_Hall '-I 4 2 3'
_cell_length_a 7.4880
_cell_length_b 7.4880
_cell_length_c 7.4880
_cell_angle_alpha 90.00
_cell_angle_beta 90.00
_cell_angle_gamma 90.00
loop_
_atom_site_label
_atom_site_type_symbol
_atom_site_fract_x
_atom_site_fract_y
_atom_site_fract_z
Sr1 Sr 0.0000 0.0000 0.0000
Cd1 Cd 0.2500 0.2500 0.2500
```

Computed properties:
relative energy among the computed polymorphs = 533 meV/atom
formation energy from the elements = 289 meV per atom
electronic total energy = -0.780 eV/atom
theoretical density = 4.25 Mg/m³

---

Which formula does entry 3 have? Sr5Cd

---

Among the records above, which one has the highest formation energy from the elements? SrCd4

---

Among the records above, which one has the highest electronic total energy? SrCd4

---

The lowest theoretical density belongs to which entry? Sr5Cd